Record 1
## TbThNiAu (GGA-PBE)

Data for TbThNiAu after structural relaxation.

Lattice parameters (Å, degrees): 3.8385 4.2725 6.0420 90.00 108.52 90.00
Last column: nearest neighbours and their distance in Å.
Fractional positions:
Th  0.8688  0.5000  0.7376  4 Ni 2.90, 2 Au 3.10
Tb  0.1467  0.0000  0.2934  1 Ni 2.94, 4 Au 2.97
Au  0.5816  0.5000  0.1632  2 Ni 2.96, 4 Tb 2.97, 3 Th 3.10-3.29
Ni  0.4030  0.0000  0.8059  4 Th 2.90, 1 Tb 2.94, 2 Au 2.96

Calculated values
Mass density ... 11.43 g cm⁻³
Space group ... Amm2
ΔH_f (0 K) ... -603 meV/atom


Record 2
## SrCd2Tc (GGA-PBE)

Data for SrCd2Tc after structural relaxation.

Lattice parameters (Å, degrees): 10.4735 10.4735 10.4735 17.64 17.64 17.64
Last column: nearest neighbours and their distance in Å.
Fractional positions:
Tc  0.7500  0.7500  0.7500  6 Cd 2.89, 6 Tc 3.21
Cd  0.0115  0.0115  0.0115  3 Tc 2.89, 6 Cd 3.21
Cd  0.4885  0.4885  0.4885  3 Tc 2.89, 6 Cd 3.21
Sr  0.2500  0.2500  0.2500  6 Sr 3.21, 6 Cd 3.47

Calculated values
Mass density ... 7.40 g cm⁻³
Space group ... R-3m
ΔH_f (0 K) ... 615 meV/atom


Record 3
## Pr4NdPa3N8 (GGA-PBE)

Data for Pr4NdPa3N8 after structural relaxation.

Lattice parameters (Å, degrees): 7.1973 7.2345 7.1977 119.84 120.00 90.00
Last column: nearest neighbours and their distance in Å.
Fractional positions:
N  0.7515  0.2866  0.0351  2 Pa 2.38, 1 Nd 2.55, 1 Pr 2.58
Pa  0.5000  0.5000  0.0000  6 N 2.38-2.41
Pa  0.0000  0.5000  0.5000  6 N 2.38-2.41
Nd  0.0000  0.5000  0.0000  6 N 2.55
Pr  0.5000  0.0000  0.5000  6 N 2.71-2.74
Pa  0.5000  0.5000  0.5000  6 N 2.38-2.41
N  0.2643  0.2928  0.5285  3 Pa 2.41
Pr  0.5000  0.0000  0.0000  6 N 2.58
N  0.2485  0.7134  0.9649  2 Pa 2.38, 1 Nd 2.55, 1 Pr 2.58
N  0.2837  0.2866  0.0351  2 Pa 2.38, 1 Nd 2.55, 1 Pr 2.58
Pr  0.0000  0.0000  0.0000  6 N 2.71-2.74
N  0.7515  0.2866  0.5029  2 Pa 2.38, 1 Nd 2.55, 1 Pr 2.58
N  0.7163  0.7134  0.9649  2 Pa 2.38, 1 Nd 2.55, 1 Pr 2.58
N  0.2485  0.7134  0.4971  2 Pa 2.38, 1 Nd 2.55, 1 Pr 2.58
N  0.7357  0.7072  0.4715  3 Pa 2.41
Pr  0.0000  0.0000  0.5000  6 N 2.71-2.74

Calculated values
Mass density ... 9.46 g cm⁻³
E_form (uncorrected) ... -1523 meV/atom
Space group ... R-3m


Record 4
## TaZnIn2 (GGA-PBE)

Data for TaZnIn2 after structural relaxation.

Lattice parameters (Å, degrees): 5.7333 5.7333 5.2130 65.38 65.38 30.84
Last column: nearest neighbours and their distance in Å.
Fractional positions:
In  0.2386  0.2386  0.3339  4 Zn 2.98-3.08, 3 Ta 2.99-3.02, 5 In 3.03-3.21
Ta  0.4877  0.4877  0.4238  2 Zn 2.87, 7 In 2.95-3.10, 2 Ta 3.05
Zn  0.7658  0.7658  0.8198  2 Ta 2.87, 7 In 2.95-3.08, 2 Zn 3.05
In  0.0080  0.0080  0.9225  3 Zn 2.95-3.07, 4 Ta 2.95-3.10, 5 In 3.03-3.21

Calculated values
Mass density ... 9.98 g cm⁻³
Space group ... Cm
ΔH_f (0 K) ... 155 meV/atom


Record 5
## Ho4NiOs (GGA-PBE)

Data for Ho4NiOs after structural relaxation.

Lattice parameters (Å, degrees): 6.1817 6.5089 7.5630 90.00 107.64 90.00
Last column: nearest neighbours and their distance in Å.
Fractional positions:
Os  0.2215  0.2500  0.0532  6 Ho 2.72-2.85
Ho  0.0012  0.0000  0.2555  2 Ni 2.82-2.85, 2 Os 2.84-2.85
Ho  0.9988  0.5000  0.7445  2 Ni 2.82-2.85, 2 Os 2.84-2.85
Ho  0.5536  0.2500  0.3860  1 Ni 2.67, 1 Os 2.72
Ho  0.9988  0.0000  0.7445  2 Ni 2.82-2.85, 2 Os 2.84-2.85
Ho  0.4296  0.7500  0.1043  1 Ni 2.73, 1 Os 2.76
Ho  0.0012  0.5000  0.2555  2 Ni 2.82-2.85, 2 Os 2.84-2.85
Ho  0.4464  0.7500  0.6140  1 Ni 2.67, 1 Os 2.72
Ni  0.7615  0.7500  0.4375  6 Ho 2.67-2.85
Os  0.7785  0.7500  0.9468  6 Ho 2.72-2.85
Ni  0.2385  0.2500  0.5625  6 Ho 2.67-2.85
Ho  0.5704  0.2500  0.8957  1 Ni 2.73, 1 Os 2.76

Calculated values
Mass density ... 10.41 g cm⁻³
Space group ... P2_1/m
ΔH_f (0 K) ... -251 meV/atom


Record 6
## Sr3PtSe (GGA-PBE)

Data for Sr3PtSe after structural relaxation.

Lattice parameters (Å, degrees): 5.7856 5.7856 5.7856 90.00 90.00 90.00
Last column: nearest neighbours and their distance in Å.
Fractional positions:
Pt  0.0000  0.0000  0.0000  6 Sr 2.89
Se  0.5000  0.5000  0.5000  12 Sr 4.09
Sr  0.0000  0.0000  0.5000  2 Pt 2.89
Sr  0.5000  0.0000  0.0000  2 Pt 2.89
Sr  0.0000  0.5000  0.0000  2 Pt 2.89

Calculated values
Mass density ... 4.60 g cm⁻³
E_form (uncorrected) ... -725 meV/atom
Space group ... Pm-3m


Record 7
## Ca4PuTh3N8 (GGA-PBE)

Data for Ca4PuTh3N8 after structural relaxation.

Lattice parameters (Å, degrees): 7.2620 7.1527 7.2618 120.51 120.00 90.00
Last column: nearest neighbours and their distance in Å.
Fractional positions:
N  0.7499  0.7217  0.9858  1 Pu 2.41, 2 Th 2.48, 3 Ca 2.62-2.69
N  0.2588  0.2762  0.5175  3 Th 2.46, 3 Ca 2.64
Th  0.5000  0.5000  0.5000  6 N 2.46-2.48
Pu  0.0000  0.5000  0.0000  6 N 2.41
N  0.7641  0.2783  0.0142  1 Pu 2.41, 2 Th 2.48, 3 Ca 2.62-2.69
Ca  0.5000  0.0000  0.0000  6 N 2.69
Th  0.5000  0.5000  0.0000  6 N 2.46-2.48
N  0.2501  0.2783  0.0142  1 Pu 2.41, 2 Th 2.48, 3 Ca 2.62-2.69
Th  0.0000  0.5000  0.5000  6 N 2.46-2.48
N  0.2360  0.7217  0.4719  1 Pu 2.41, 2 Th 2.48, 3 Ca 2.62-2.69
N  0.2359  0.7217  0.9858  1 Pu 2.41, 2 Th 2.48, 3 Ca 2.62-2.69
Ca  0.0000  0.0000  0.0000  6 N 2.62-2.64
Ca  0.5000  0.0000  0.5000  6 N 2.62-2.64
N  0.7412  0.7238  0.4825  3 Th 2.46, 3 Ca 2.64
N  0.7640  0.2783  0.5281  1 Pu 2.41, 2 Th 2.48, 3 Ca 2.62-2.69
Ca  0.0000  0.0000  0.5000  6 N 2.62-2.64

Calculated values
Mass density ... 7.61 g cm⁻³
E_form (uncorrected) ... -1328 meV/atom
Space group ... R-3m


Record 8
## V2Fe4Ni5 (GGA-PBE)

Data for V2Fe4Ni5 after structural relaxation.

Lattice parameters (Å, degrees): 4.7712 4.7712 7.3334 69.68 69.68 59.99
Last column: nearest neighbours and their distance in Å.
Fractional positions:
Fe  0.6943  0.6943  0.4479  1 V 2.43, 3 Ni 2.62-2.70, 1 Fe 2.70
Ni  0.7540  0.2625  0.2195  2 Fe 2.32-2.45, 3 Ni 2.34-2.43, 3 V 2.47-2.57
V  0.8042  0.8042  0.0864  4 Fe 2.43-2.51, 6 Ni 2.47-2.57
Ni  0.2460  0.7375  0.7805  2 Fe 2.32-2.45, 3 Ni 2.34-2.43, 3 V 2.47-2.57
Fe  0.3057  0.3057  0.5521  1 V 2.43, 3 Ni 2.62-2.70, 1 Fe 2.70
Ni  0.7375  0.2460  0.7805  2 Fe 2.32-2.45, 3 Ni 2.34-2.43, 3 V 2.47-2.57
Ni  0.0000  0.0000  0.5000  4 Ni 2.37, 2 Fe 2.43
Ni  0.2625  0.7540  0.2195  2 Fe 2.32-2.45, 3 Ni 2.34-2.43, 3 V 2.47-2.57
Fe  0.2725  0.2725  0.2009  5 Ni 2.32-2.45, 3 V 2.43-2.51
V  0.1958  0.1958  0.9136  4 Fe 2.43-2.51, 6 Ni 2.47-2.57
Fe  0.7275  0.7275  0.7991  5 Ni 2.32-2.45, 3 V 2.43-2.51

Calculated values
Mass density ... 7.76 g cm⁻³
Space group ... C2/m
ΔH_f (0 K) ... 69 meV/atom


Record 9
## SrMgGa2Rh (GGA-PBE)

Data for SrMgGa2Rh after structural relaxation.

Lattice parameters (Å, degrees): 4.2107 4.2107 6.6588 108.43 108.43 90.00
Last column: nearest neighbours and their distance in Å.
Fractional positions:
Ga  0.3844  0.3844  0.7687  2 Mg 2.64, 2 Rh 2.64, 1 Ga 2.75
Ga  0.6156  0.6156  0.2313  2 Rh 2.64, 2 Mg 2.64, 1 Ga 2.75
Mg  0.2500  0.7500  0.5000  4 Ga 2.64
Rh  0.7500  0.2500  0.5000  4 Ga 2.64
Sr  0.0000  0.0000  0.0000  8 Ga 3.28, 4 Rh 3.65, 4 Mg 3.65

Calculated values
Mass density ... 5.57 g cm⁻³
Space group ... I-4m2
ΔH_f (0 K) ... -432 meV/atom


Record 10
## PmNpPt2 (GGA-PBE)

Data for PmNpPt2 after structural relaxation.

Lattice parameters (Å, degrees): 4.1527 4.1527 7.0161 72.79 72.79 60.00
Last column: nearest neighbours and their distance in Å.
Fractional positions:
Pt  0.2572  0.2572  0.2283  3 Np 2.83, 3 Pm 2.99
Pt  0.7428  0.7428  0.7717  3 Np 2.83, 3 Pm 2.99
Np  0.0000  0.0000  0.0000  6 Pt 2.83
Pm  0.5000  0.5000  0.5000  6 Pt 2.99

Calculated values
Mass density ... 13.02 g cm⁻³
Space group ... R-3m
ΔH_f (0 K) ... -731 meV/atom


Record 11
## NaSr2Cl (GGA-PBE)

Data for NaSr2Cl after structural relaxation.

Lattice parameters (Å, degrees): 9.1779 9.1779 7.7383 53.63 53.63 90.00
Last column: nearest neighbours and their distance in Å.
Fractional positions:
Na  0.2500  0.7500  0.5000  8 Sr 3.90-4.23, 2 Cl 4.21
Sr  0.8750  0.9493  0.7500  2 Cl 3.00
Cl  0.7500  0.2500  0.5000  4 Sr 3.00
Sr  0.6993  0.1250  0.2500  2 Cl 3.00
Na  0.5000  0.5000  0.0000  8 Sr 3.90-4.23, 2 Cl 4.21
Cl  0.0000  0.0000  0.0000  4 Sr 3.00
Sr  0.3750  0.3007  0.7500  2 Cl 3.00
Sr  0.0507  0.6250  0.2500  2 Cl 3.00

Calculated values
Mass density ... 2.19 g cm⁻³
E_form (uncorrected) ... -703 meV/atom
Space group ... I-42d


Record 12
## Ru2Se (GGA-PBE)

Data for Ru2Se after structural relaxation.

Lattice parameters (Å, degrees): 4.5815 4.5815 4.5815 142.35 129.07 65.04
Last column: nearest neighbours and their distance in Å.
Fractional positions:
Ru  0.6755  0.6755  0.0000  1 Se 2.51, 5 Ru 2.71-2.72
Ru  0.3245  0.3245  0.0000  1 Se 2.51, 5 Ru 2.71-2.72
Se  0.0000  0.0000  0.0000  2 Ru 2.51

Calculated values
Mass density ... 10.37 g cm⁻³
E_form (uncorrected) ... 457 meV/atom
Space group ... Immm